Entry 1:
# PBE LiMnHg4, relaxed
# SG ... F-43m (216)
# Formation energy ... 294.1 meV per atom
# Total magnetization ... 4.20 μB/cell
data_LiMnHg4
_cell_length_a 5.834
_cell_length_b 5.834
_cell_length_c 5.834
_cell_angle_alpha 60.00
_cell_angle_beta 60.00
_cell_angle_gamma 60.00
_space_group_name_H-M_alt 'P 1'
_space_group_IT_number 1
loop_
_space_group_symop_operation_xyz
'x,y,z'
loop_
_atom_site_label
_atom_site_type_symbol
_atom_site_fract_x
_atom_site_fract_y
_atom_site_fract_z
Mn1 Mn 0.000 0.000 0.000
Hg1 Hg 0.375 0.375 0.375
Hg2 Hg 0.875 0.375 0.375
Hg3 Hg 0.375 0.875 0.375
Hg4 Hg 0.375 0.375 0.875
Li1 Li 0.750 0.750 0.750



Entry 2:
# PBE Na4Ge2Te5, relaxed
# Energy relative to the elements, uncorrected ... -0.588 eV/atom
# SG ... P-1 (2)
# Total magnetization ... 0.00 μB/cell
data_Na4Ge2Te5
_cell_length_a 8.005
_cell_length_b 9.727
_cell_length_c 10.844
_cell_angle_alpha 68.22
_cell_angle_beta 70.87
_cell_angle_gamma 67.54
_space_group_name_H-M_alt 'P 1'
_space_group_IT_number 1
loop_
_space_group_symop_operation_xyz
'x,y,z'
loop_
_atom_site_label
_atom_site_type_symbol
_atom_site_fract_x
_atom_site_fract_y
_atom_site_fract_z
Na1 Na 0.264 0.439 0.431
Na2 Na 0.736 0.561 0.569
Na3 Na 0.323 0.951 0.416
Na4 Na 0.544 0.264 0.979
Na5 Na 0.130 0.630 0.815
Na6 Na 0.870 0.370 0.185
Na7 Na 0.456 0.736 0.021
Na8 Na 0.677 0.049 0.584
Ge1 Ge 0.915 0.941 0.253
Ge2 Ge 0.105 0.238 0.855
Ge3 Ge 0.895 0.762 0.145
Ge4 Ge 0.085 0.059 0.747
Te1 Te 0.603 0.672 0.285
Te2 Te 0.194 0.058 0.094
Te3 Te 0.397 0.841 0.721
Te4 Te 0.603 0.159 0.279
Te5 Te 0.014 0.769 0.480
Te6 Te 0.806 0.942 0.906
Te7 Te 0.986 0.231 0.520
Te8 Te 0.810 0.474 0.869
Te9 Te 0.397 0.328 0.715
Te10 Te 0.190 0.526 0.131



Entry 3:
# PBE NdDyCoAg, relaxed
# SG ... F-43m (216)
# Formation energy ... -109.9 meV per atom
# Total magnetization ... 0.49 μB/cell
data_NdDyCoAg
_cell_length_a 5.032
_cell_length_b 5.032
_cell_length_c 5.032
_cell_angle_alpha 60.00
_cell_angle_beta 60.00
_cell_angle_gamma 60.00
_space_group_name_H-M_alt 'P 1'
_space_group_IT_number 1
loop_
_space_group_symop_operation_xyz
'x,y,z'
loop_
_atom_site_label
_atom_site_type_symbol
_atom_site_fract_x
_atom_site_fract_y
_atom_site_fract_z
Dy1 Dy 0.000 0.000 0.000
Nd1 Nd 0.500 0.500 0.500
Co1 Co 0.750 0.750 0.750
Ag1 Ag 0.250 0.250 0.250



Number 1: E_tot -1.75 eV/atom. Number 2: E_tot -3.34 eV/atom. Number 3: E_tot -4.94 eV/atom.